Computed, not measured: crystalline RbGe at its relaxed geometry at the PBE level of DFT.

**Calculated density**: 2.5 g/cm3
**Distance to the lowest polymorph of the same formula**: 1.001 eV per atom
**Total moment**: 1.379 μB per atom
**Formation enthalpy at 0 K**: 0.81 eV/atom
**Crystal system**: cubic

abc: 5.297 5.297 5.297
angles: 60.00 60.00 60.00
Last column: magnetic moment on the atom in μB.
Element x y z (fractional)
Ge (0.500, 0.500, 0.500)  0.89
Rb (0.000, 0.000, 0.000)  0.07